VASP calculation (GGA+U) on HfTcSnWF after structural relaxation.

```
HfTcSnWF
1.0
5.824 -1.578 0.000
5.824 1.578 0.000
-1.284 0.000 4.775
Hf Tc Sn W F
1 1 1 1 1
Direct
0.000 0.000 0.000
0.487 0.487 0.435
0.750 0.750 0.215
0.160 0.160 0.651
0.373 0.373 0.774
```

DOS at the Fermi energy = 0.49 states/eV per atom
E = -6.987 eV/atom
space group = Cm, No. 8